[1]
This record from the Alexandria database describes a relaxed structure of KGeBr3. The functional is PBE-GGA.

Lattice parameters (Å, degrees): 5.9679 7.6868 8.5585 90.25 109.88 90.02
Last column: nearest neighbours and their distance in Å.
Space group P1 (No. 1)
Asymmetric unit:
K1 0.0000 0.0000 0.0000 [1 per cell]  7 Br 3.37-3.70
K2 0.3446 0.4973 0.6406 [1 per cell]  7 Br 3.37-3.73
Ge1 0.6303 0.5243 0.2085 [1 per cell]  3 Br 2.52-2.54
Ge2 0.7125 0.0246 0.4326 [1 per cell]  3 Br 2.52-2.54
Br1 0.0610 0.5451 0.2292 [1 per cell]  1 Ge 2.52
Br2 0.2820 0.0469 0.4123 [1 per cell]  1 Ge 2.52
Br3 0.4913 0.7617 0.9911 [1 per cell]  1 Ge 2.54
Br4 0.5217 0.2662 0.0110 [1 per cell]  1 Ge 2.54
Br5 0.8198 0.7676 0.6289 [1 per cell]  1 Ge 2.54
Br6 0.8533 0.2633 0.6511 [1 per cell]  1 Ge 2.54

Summary:
* calculated total energy: -3.181 eV/atom
* formation energy (no corrections): -499 kJ/mol of formula units
* magnetic moment: 0.0 μB per cell



[2]
This record from the Alexandria database describes a relaxed structure of Sm3ErTm12. The functional is PBE-GGA.

Lattice parameters (Å, degrees): 4.9685 4.9685 19.8914 90.00 90.00 90.00
Last column: nearest neighbours and their distance in Å.
Space group P4/mmm (No. 123)
Asymmetric unit:
Sm1 0.0000 0.0000 0.0000 [1 per cell]  12 Tm 3.51-3.52
Sm2 0.0000 0.0000 0.2507 [2 per cell]  12 Tm 3.51-3.53
Er1 0.0000 0.0000 0.5000 [1 per cell]  12 Tm 3.49-3.51
Tm1 0.0000 0.5000 0.1256 [4 per cell]  8 Tm 3.51-3.53, 4 Sm 3.52
Tm2 0.0000 0.5000 0.3766 [4 per cell]  8 Tm 3.49-3.52, 2 Er 3.49, 2 Sm 3.53
Tm3 0.5000 0.5000 0.0000 [1 per cell]  4 Sm 3.51, 8 Tm 3.52
Tm4 0.5000 0.5000 0.2513 [2 per cell]  4 Sm 3.51, 8 Tm 3.52-3.53
Tm5 0.5000 0.5000 0.5000 [1 per cell]  8 Tm 3.49, 4 Er 3.51

Summary:
* calculated total energy: -4.498 eV/atom
* magnetic moment: 0.0 μB per cell



[3]
This record from the Alexandria database describes a relaxed structure of Li3Zn4Ir2. The functional is PBE-GGA.

Lattice parameters (Å, degrees): 7.3932 4.2733 7.9368 90.00 90.07 90.00
Last column: nearest neighbours and their distance in Å.
Space group C2/m (No. 12)
Asymmetric unit:
Li1 0.0000 0.0000 0.0000 [2 per cell]  8 Zn 2.58-2.62
Li2 0.1666 0.5000 0.4397 [4 per cell]  4 Zn 2.61-2.63, 3 Li 2.64-2.65, 1 Ir 2.72
Zn1 0.9999 0.0000 0.3248 [4 per cell]  4 Li 2.58-2.63, 3 Ir 2.61, 1 Zn 2.78
Zn2 0.1666 0.5000 0.1108 [4 per cell]  4 Ir 2.61, 4 Li 2.61-2.62
Ir1 0.1667 0.5000 0.7823 [4 per cell]  7 Zn 2.61, 1 Li 2.72

Summary:
* calculated total energy: -3.476 eV/atom
* magnetic moment: 0.0 μB per cell



[4]
This record from the Alexandria database describes a relaxed structure of Tb4HoAgSe8. The functional is PBE-GGA.

Lattice parameters (Å, degrees): 8.4151 8.4151 20.5433 90.00 90.00 120.00
Last column: nearest neighbours and their distance in Å.
Space group R3m (No. 160, hexagonal axes)
Asymmetric unit:
Tb1 0.0000 0.0000 0.0000 [3 per cell]  4 Se 2.75
Tb2 0.1729 0.3459 0.2071 [9 per cell]  6 Se 2.84-2.94
Ho1 0.0000 0.0000 0.3803 [3 per cell]  6 Se 2.82-2.92
Ag1 0.0000 0.0000 0.7507 [3 per cell]  4 Se 2.70-2.71
Se1 0.0000 0.0000 0.1337 [3 per cell]  4 Tb 2.75-2.94
Se2 0.0000 0.0000 0.6191 [3 per cell]  1 Ag 2.70, 3 Tb 2.84
Se3 0.0181 0.5091 0.1269 [9 per cell]  1 Ag 2.71, 1 Ho 2.82, 2 Tb 2.84
Se4 0.1788 0.3576 0.9566 [9 per cell]  3 Tb 2.75-2.94, 1 Ho 2.92

Summary:
* calculated total energy: -5.495 eV/atom
* formation energy (no corrections): -2229 kJ/mol of formula units
* magnetic moment: 0.0 μB per cell



[5]
This record from the Alexandria database describes a relaxed structure of CsLi3V. The functional is PBE-GGA.

Lattice parameters (Å, degrees): 5.3010 5.3010 5.3010 90.00 90.00 90.00
Last column: nearest neighbours and their distance in Å.
Space group Pm-3m (No. 221)
Asymmetric unit:
Cs1 0.0000 0.0000 0.0000 [1 per cell]  6 Li 2.65
Li1 0.0000 0.0000 0.5000 [3 per cell]  2 Cs 2.65
V1 0.5000 0.5000 0.5000 [1 per cell]  12 Li 3.75

Summary:
* calculated total energy: -1.784 eV/atom
* magnetic moment: 4.1 μB per cell



[6]
This record from the Alexandria database describes a relaxed structure of AgPb3. The functional is PBE-GGA.

Lattice parameters (Å, degrees): 5.5668 5.5668 5.5668 90.00 90.00 90.00
Last column: nearest neighbours and their distance in Å.
Space group Pm-3m (No. 221)
Asymmetric unit:
Ag1 0.0000 0.0000 0.0000 [1 per cell]  6 Pb 2.78
Pb1 0.0000 0.0000 0.5000 [3 per cell]  2 Ag 2.78

Summary:
* calculated total energy: -2.904 eV/atom
* magnetic moment: 0.0 μB per cell



[7]
This record from the Alexandria database describes a relaxed structure of NdSi2AgAu5. The functional is PBE-GGA.

Lattice parameters (Å, degrees): 4.8667 4.8667 7.5461 90.00 90.00 90.00
Last column: nearest neighbours and their distance in Å.
Space group P4/mmm (No. 123)
Asymmetric unit:
Nd1 0.0000 0.0000 0.0000 [1 per cell]  12 Au 3.15-3.44
Si1 0.5000 0.5000 0.3416 [2 per cell]  1 Si 2.39, 5 Au 2.50-2.58
Ag1 0.0000 0.0000 0.5000 [1 per cell]  8 Au 3.01
Au1 0.0000 0.5000 0.2646 [4 per cell]  2 Si 2.50
Au2 0.5000 0.5000 0.0000 [1 per cell]  2 Si 2.58

Summary:
* calculated total energy: -4.105 eV/atom
* formation energy (no corrections): -202 kJ/mol of formula units
* magnetic moment: 0.0 μB per cell



[8]
This record from the Alexandria database describes a relaxed structure of CeEr3H. The functional is PBE-GGA.

Lattice parameters (Å, degrees): 4.9296 4.9296 4.9296 90.00 90.00 90.00
Last column: nearest neighbours and their distance in Å.
Space group Pm-3m (No. 221)
Asymmetric unit:
Ce1 0.0000 0.0000 0.0000 [1 per cell]  12 Er 3.49
Er1 0.0000 0.5000 0.5000 [3 per cell]  2 H 2.46
H1 0.5000 0.5000 0.5000 [1 per cell]  6 Er 2.46

Summary:
* calculated total energy: -4.709 eV/atom
* magnetic moment: 0.6 μB per cell



[9]
This record from the Alexandria database describes a relaxed structure of GaReH. The functional is PBE-GGA.

Lattice parameters (Å, degrees): 6.8288 8.0003 5.7423 90.00 111.83 90.00
Last column: nearest neighbours and their distance in Å.
Space group P2_1/c (No. 14)
Asymmetric unit:
Ga1 0.0355 0.1663 0.4446 [4 per cell]  2 H 2.02-2.05
Ga2 0.2991 0.5996 0.7517 [4 per cell]  1 H 1.86
Re1 0.3577 0.5609 0.2635 [4 per cell]  2 H 1.73-1.86
Re2 0.3779 0.2259 0.3782 [4 per cell]  1 H 1.80
H1 0.1788 0.6037 0.4036 [4 per cell]  1 Re 1.73, 1 H 1.78, 1 Ga 1.86
H2 0.1883 0.1073 0.8098 [4 per cell]  1 H 1.78, 2 Re 1.80-1.86

Summary:
* calculated total energy: -6.067 eV/atom
* relative energy among the computed polymorphs: 3 meV per atom
* magnetic moment: 0.0 μB per cell



[10]
This record from the Alexandria database describes a relaxed structure of CaNd2I8. The functional is PBE-GGA.

Lattice parameters (Å, degrees): 15.7709 11.0953 7.8625 90.00 99.43 90.00
Last column: nearest neighbours and their distance in Å.
Space group C2/m (No. 12)
Asymmetric unit:
Ca1 0.0000 0.0000 0.0000 [2 per cell]  6 I 3.18-3.19
Nd1 0.1802 0.0000 0.6457 [4 per cell]  4 I 2.90-3.03
I1 0.0802 0.1989 0.7830 [8 per cell]  1 Nd 3.01, 1 Ca 3.18
I2 0.1400 0.5000 0.1974 [4 per cell]  1 Nd 2.90
I3 0.1781 0.0000 0.2602 [4 per cell]  1 Nd 3.03, 1 Ca 3.19

Summary:
* calculated total energy: -3.498 eV/atom
* formation energy (no corrections): -1403 kJ/mol of formula units
* magnetic moment: 0.0 μB per cell



[11]
This record from the Alexandria database describes a relaxed structure of MnAlBr2. The functional is PBE-GGA.

Lattice parameters (Å, degrees): 7.9189 7.8809 3.3431 90.00 90.13 90.00
Last column: nearest neighbours and their distance in Å.
Space group C2/m (No. 12)
Asymmetric unit:
Mn1 0.0000 0.0000 0.0000 [2 per cell]  4 Br 2.79
Al1 0.0000 0.5000 0.0000 [2 per cell]  4 Br 2.79
Br1 0.2500 0.2500 0.0000 [4 per cell]  2 Mn 2.79, 2 Al 2.79

Summary:
* calculated total energy: -3.969 eV/atom
* relative energy among the computed polymorphs: 447 meV per atom
* formation energy (no corrections): 37 kJ/mol of formula units
* magnetic moment: 9.1 μB per cell



[12]
This record from the Alexandria database describes a relaxed structure of Li2BeAl. The functional is PBE-GGA.

Lattice parameters (Å, degrees): 3.9808 3.1402 4.3167 90.00 91.07 90.00
Last column: nearest neighbours and their distance in Å.
Space group P2/m (No. 10)
Asymmetric unit:
Li1 0.0000 0.0000 0.0000 [1 per cell]  4 Li 2.54, 4 Be 2.67
Li2 0.5000 0.5000 0.0000 [1 per cell]  4 Li 2.54, 4 Al 2.67
Be1 0.0000 0.5000 0.5000 [1 per cell]  4 Al 2.54, 4 Li 2.67
Al1 0.5000 0.0000 0.5000 [1 per cell]  4 Be 2.54, 4 Li 2.67

Summary:
* calculated total energy: -2.757 eV/atom
* relative energy among the computed polymorphs: 100 meV per atom
* magnetic moment: 0.0 μB per cell



Number 1 is which compound?
KGeBr3



Which value of calculated total energy does entry 2 give?
-4.498 eV/atom



What is the formula in the eighth record?
CeEr3H